Compound: LiHgPt2
Source: the Open Quantum Materials Database
Functional: PBE
Structure: relaxed

Results
VASP energy: -3.808 eV/atom
Total moment: 0.003 Bohr magnetons per cell
SG: F-43m, No. 216

abc: 4.5273 4.5273 4.5273
angles: 60.00 60.00 60.00
Element x y z (fractional)
Li 0.0000 0.0000 0.0000
Hg 0.2500 0.2500 0.2500
Pt 0.5000 0.5000 0.5000
Pt 0.7500 0.7500 0.7500